# Al2CrRe

An optimized crystal structure of Al2CrRe (PBE, Alexandria).

Results
ΔH_f (0 K): -0.078 eV/atom
total energy: -7.47 eV per atom
D(E_F): 0.9485 states/eV per atom
M_tot: 3.17 μB/f.u.
excess energy over the best structure of this formula in the dataset: 3.89 kcal/mol of atoms
density: 8.52 g/cm³

a b c (Å): 6.107 6.107 6.107
angles (deg): 90.00 90.00 90.00
Space group Fm-3m (No. 225)
Symmetry-distinct sites (fractional):
Al 0.250 0.250 0.250 x8
Cr 0.000 0.000 0.000 x4
Re 0.000 0.000 0.500 x4